1.
An optimized crystal structure of CaPmIrPb. Source: the Alexandria database, functional PBE-GGA.

ΔE_f, kJ/mol of atoms: -34
Symmetry: F-43m (216)

Lattice parameters (Å, degrees): 5.2048 5.2048 5.2048 60.00 60.00 60.00
Atoms (fractional coordinates):
Pb 0.5000 0.5000 0.5000
Ca 0.2500 0.2500 0.2500
Ir 0.0000 0.0000 0.0000
Pm 0.7500 0.7500 0.7500

***

2.
An optimized crystal structure of CaPuIrPb. Source: the Alexandria database, functional PBE-GGA.

ΔE_f, kJ/mol of atoms: -35
Symmetry: P4mm (99)

Lattice parameters (Å, degrees): 3.3590 3.3590 8.7803 90.00 90.00 90.00
Atoms (fractional coordinates):
Ca 0.5000 0.5000 0.7780
Pu 0.5000 0.5000 0.3737
Ir 0.0000 0.0000 0.5593
Pb 0.0000 0.0000 0.0737

***

3.
An optimized crystal structure of CaSnIr2Pb. Source: the Alexandria database, functional PBE-GGA.

ΔE_f, kJ/mol of atoms: 76
Symmetry: P4/mmm (123)

Lattice parameters (Å, degrees): 4.9505 5.5471 4.9505 90.00 90.00 90.00
Atoms (fractional coordinates):
Pb 0.5000 0.5000 0.5000
Ca 0.0000 0.5000 0.0000
Ir 0.0000 0.0000 0.5000
Ir 0.5000 0.0000 0.0000
Sn 0.0000 0.0000 0.0000

***

4.
An optimized crystal structure of CaVIr2Pb. Source: the Alexandria database, functional PBE-GGA.

ΔE_f, kJ/mol of atoms: 61
Symmetry: P4/mmm (123)

Lattice parameters (Å, degrees): 4.6197 5.1686 4.6197 90.00 90.00 90.00
Atoms (fractional coordinates):
Pb 0.5000 0.5000 0.5000
Ca 0.0000 0.5000 0.0000
Ir 0.0000 0.0000 0.5000
Ir 0.5000 0.0000 0.0000
V 0.0000 0.0000 0.0000

***

5.
An optimized crystal structure of Ca8Ir2Pd. Source: the Alexandria database, functional PBE-GGA.

ΔE_f, kJ/mol of atoms: -31
Symmetry: Cm (8)

Lattice parameters (Å, degrees): 5.8864 7.8297 7.8297 111.26 99.18 99.18
Atoms (fractional coordinates):
Ca 0.5688 0.3377 0.0694
Ca 0.5688 0.0694 0.3377
Ca 0.1932 0.3743 0.3743
Ca 0.9868 0.2274 0.7711
Ca 0.9868 0.7711 0.2274
Ca 0.7909 0.6349 0.6349
Ca 0.3885 0.9381 0.6682
Ca 0.3885 0.6682 0.9381
Ir 0.4926 0.6916 0.3219
Ir 0.4926 0.3219 0.6916
Pd 0.1422 0.9992 0.9992

***

6.
An optimized crystal structure of Ca8IrPd2. Source: the Alexandria database, functional PBE-GGA.

ΔE_f, kJ/mol of atoms: -35
Symmetry: C2/m (12)
E above lowest polymorph, meV per atom: 2.2

Lattice parameters (Å, degrees): 5.0191 7.0749 9.6093 106.67 105.14 90.00
Atoms (fractional coordinates):
Ca 0.4085 0.5736 0.8170
Ca 0.6624 0.9615 0.3248
Ca 0.7903 0.6835 0.5806
Ca 0.9674 0.1930 0.9347
Ca 0.2097 0.3165 0.4194
Ca 0.3376 0.0385 0.6752
Ca 0.5915 0.4264 0.1830
Ca 0.0326 0.8070 0.0653
Ir 0.5000 0.0000 0.0000
Pd 0.8152 0.2935 0.6304
Pd 0.1848 0.7065 0.3696

***

7.
An optimized crystal structure of CaIr2Pd. Source: the Alexandria database, functional PBE-GGA.

ΔE_f, kJ/mol of atoms: 32
Symmetry: Fm-3m (225)
E above lowest polymorph, meV per atom: 124.3

Lattice parameters (Å, degrees): 4.5852 4.5852 4.5852 60.00 60.00 60.00
Atoms (fractional coordinates):
Ca 0.0000 0.0000 0.0000
Ir 0.2500 0.2500 0.2500
Ir 0.7500 0.7500 0.7500
Pd 0.5000 0.5000 0.5000

***

8.
An optimized crystal structure of Ca3IrPd. Source: the Alexandria database, functional PBE-GGA.

ΔE_f, kJ/mol of atoms: -7
Symmetry: Pm-3m (221)
E above lowest polymorph, meV per atom: 0.0

Lattice parameters (Å, degrees): 5.3667 5.3667 5.3667 90.00 90.00 90.00
Atoms (fractional coordinates):
Ca 0.0000 0.5000 0.0000
Ca 0.0000 0.0000 0.5000
Ca 0.5000 0.0000 0.0000
Ir 0.0000 0.0000 0.0000
Pd 0.5000 0.5000 0.5000

***

9.
An optimized crystal structure of Ca4IrPd. Source: the Alexandria database, functional PBE-GGA.

ΔE_f, kJ/mol of atoms: -44
Symmetry: C2/c (15)

Lattice parameters (Å, degrees): 6.3470 7.8875 8.1468 114.45 107.60 100.37
Atoms (fractional coordinates):
Ca 0.0103 0.2368 0.8795
Ca 0.7947 0.7044 0.6533
Ca 0.3692 0.6427 0.8795
Ca 0.3586 0.9488 0.6533
Ca 0.6414 0.0512 0.3467
Ca 0.6308 0.3573 0.1205
Ca 0.2053 0.2956 0.3467
Ca 0.9897 0.7632 0.1205
Ir 0.2481 0.9981 0.9962
Ir 0.7519 0.0019 0.0038
Pd 0.3872 0.6372 0.2744
Pd 0.6128 0.3628 0.7256

***

10.
An optimized crystal structure of Ca8IrPd2. Source: the Alexandria database, functional PBE-GGA.

ΔE_f, kJ/mol of atoms: -35
Symmetry: Cm (8)
E above lowest polymorph, meV per atom: 0.0

Lattice parameters (Å, degrees): 6.4437 7.8522 7.8522 113.69 102.03 102.03
Atoms (fractional coordinates):
Ca 0.5683 0.3412 0.0854
Ca 0.5683 0.0854 0.3412
Ca 0.1806 0.3486 0.3486
Ca 0.9629 0.1823 0.7913
Ca 0.9629 0.7913 0.1823
Ca 0.8057 0.6577 0.6577
Ca 0.3525 0.9228 0.6564
Ca 0.3525 0.6564 0.9228
Ir 0.1922 0.9965 0.9965
Pd 0.5268 0.7121 0.3396
Pd 0.5268 0.3396 0.7121

***

11.
An optimized crystal structure of Ca2Ir4Pd. Source: the Alexandria database, functional PBE-GGA.

ΔE_f, kJ/mol of atoms: 116
Symmetry: I4/mmm (139)

Lattice parameters (Å, degrees): 4.7962 4.7962 8.0180 72.60 72.60 90.00
Atoms (fractional coordinates):
Ca 0.6336 0.6336 0.7327
Ca 0.3664 0.3664 0.2673
Ir 0.8298 0.8298 0.3404
Ir 0.1702 0.1702 0.6596
Ir 0.0000 0.5000 0.0000
Ir 0.5000 0.0000 0.0000
Pd 0.0000 0.0000 0.0000

***

12.
An optimized crystal structure of Ca2Ir2Pd. Source: the Alexandria database, functional PBE-GGA.

ΔE_f, kJ/mol of atoms: -29
Symmetry: P4/mbm (127)

Lattice parameters (Å, degrees): 6.7888 6.7888 4.4738 90.00 90.00 90.00
Atoms (fractional coordinates):
Ca 0.1784 0.6784 0.5000
Ca 0.6784 0.8216 0.5000
Ca 0.8216 0.3216 0.5000
Ca 0.3216 0.1784 0.5000
Ir 0.3736 0.8736 0.0000
Ir 0.8736 0.6264 0.0000
Ir 0.6264 0.1264 0.0000
Ir 0.1264 0.3736 0.0000
Pd 0.0000 0.0000 0.0000
Pd 0.5000 0.5000 0.0000

***

13.
An optimized crystal structure of CaIrPd3. Source: the Alexandria database, functional PBE-GGA.

ΔE_f, kJ/mol of atoms: 132
Symmetry: Pm-3m (221)
E above lowest polymorph, meV per atom: 953.5

Lattice parameters (Å, degrees): 4.7405 4.7405 4.7405 90.00 90.00 90.00
Atoms (fractional coordinates):
Ca 0.0000 0.0000 0.0000
Ir 0.5000 0.5000 0.5000
Pd 0.0000 0.5000 0.0000
Pd 0.0000 0.0000 0.5000
Pd 0.5000 0.0000 0.0000

***

14.
An optimized crystal structure of Ca2IrPd. Source: the Alexandria database, functional PBE-GGA.

ΔE_f, kJ/mol of atoms: -39
Symmetry: P4/mmm (123)

Lattice parameters (Å, degrees): 3.4902 3.4902 6.8078 90.00 90.00 90.00
Atoms (fractional coordinates):
Ca 0.0000 0.0000 0.7582
Ca 0.0000 0.0000 0.2418
Ir 0.5000 0.5000 0.0000
Pd 0.5000 0.5000 0.5000

***

15.
An optimized crystal structure of CaIrPd3. Source: the Alexandria database, functional PBE-GGA.

ΔE_f, kJ/mol of atoms: 40
Symmetry: Pm-3m (221)
E above lowest polymorph, meV per atom: 0.0

Lattice parameters (Å, degrees): 4.8945 4.8945 4.8945 90.00 90.00 90.00
Atoms (fractional coordinates):
Ca 0.5000 0.5000 0.5000
Ir 0.0000 0.0000 0.0000
Pd 0.0000 0.5000 0.0000
Pd 0.0000 0.0000 0.5000
Pd 0.5000 0.0000 0.0000

***

16.
An optimized crystal structure of CaIr2Pd. Source: the Alexandria database, functional PBE-GGA.

ΔE_f, kJ/mol of atoms: 20
Symmetry: I-42d (122)
E above lowest polymorph, meV per atom: 0.0

Lattice parameters (Å, degrees): 4.3070 4.3070 9.8944 77.43 77.43 90.00
Atoms (fractional coordinates):
Ca 0.5000 0.5000 0.0000
Ca 0.2500 0.7500 0.5000
Ir 0.7558 0.1250 0.2500
Ir 0.9942 0.6250 0.2500
Ir 0.3750 0.2442 0.7500
Ir 0.8750 0.0058 0.7500
Pd 0.0000 0.0000 0.0000
Pd 0.7500 0.2500 0.5000

***

17.
An optimized crystal structure of Ca2IrPd. Source: the Alexandria database, functional PBE-GGA.

ΔE_f, kJ/mol of atoms: -6
Symmetry: I-42d (122)

Lattice parameters (Å, degrees): 7.6459 7.6459 6.1782 51.77 51.77 90.00
Atoms (fractional coordinates):
Ca 0.6293 0.1250 0.2500
Ca 0.1207 0.6250 0.2500
Ca 0.3750 0.3707 0.7500
Ca 0.8750 0.8793 0.7500
Ir 0.0000 0.0000 0.0000
Ir 0.7500 0.2500 0.5000
Pd 0.5000 0.5000 0.0000
Pd 0.2500 0.7500 0.5000

***

18.
An optimized crystal structure of CaPrIrPd. Source: the Alexandria database, functional PBE-GGA.

ΔE_f, kJ/mol of atoms: -56
Symmetry: F-43m (216)

Lattice parameters (Å, degrees): 5.0065 5.0065 5.0065 60.00 60.00 60.00
Atoms (fractional coordinates):
Pr 0.7500 0.7500 0.7500
Ca 0.2500 0.2500 0.2500
Ir 0.0000 0.0000 0.0000
Pd 0.5000 0.5000 0.5000

***

19.
An optimized crystal structure of CaIrPd2Pt. Source: the Alexandria database, functional PBE-GGA.

ΔE_f, kJ/mol of atoms: 145
Symmetry: P4/mmm (123)

Lattice parameters (Å, degrees): 4.6633 4.8662 4.6633 90.00 90.00 90.00
Atoms (fractional coordinates):
Ca 0.0000 0.0000 0.0000
Ir 0.0000 0.5000 0.0000
Pd 0.0000 0.0000 0.5000
Pd 0.5000 0.0000 0.0000
Pt 0.5000 0.5000 0.5000

***

20.
An optimized crystal structure of CaIr2PdS. Source: the Alexandria database, functional PBE-GGA.

Symmetry: P4/mmm (123)
Formation energy (no corrections), eV per atom: 1.95

Lattice parameters (Å, degrees): 4.8907 4.9094 4.8907 90.00 90.00 90.00
Atoms (fractional coordinates):
Ca 0.0000 0.0000 0.0000
Ir 0.0000 0.0000 0.5000
Ir 0.5000 0.0000 0.0000
S 0.0000 0.5000 0.0000
Pd 0.5000 0.5000 0.5000

***

21.
An optimized crystal structure of Ca2Sb4IrPd3. Source: the Alexandria database, functional PBE-GGA.

Symmetry: P-4m2 (115)
Formation energy (no corrections), eV per atom: -0.63

Lattice parameters (Å, degrees): 4.5764 4.5764 10.9133 90.00 90.00 90.00
Atoms (fractional coordinates):
Ca 0.5000 0.0000 0.2667
Ca 0.0000 0.5000 0.7333
Sb 0.5000 0.5000 0.0000
Sb 0.0000 0.0000 0.0000
Sb 0.5000 0.0000 0.6257
Sb 0.0000 0.5000 0.3743
Ir 0.5000 0.5000 0.5000
Pd 0.0000 0.0000 0.5000
Pd 0.5000 0.0000 0.8632
Pd 0.0000 0.5000 0.1368

***

22.
An optimized crystal structure of CaScIrPd. Source: the Alexandria database, functional PBE-GGA.

ΔE_f, kJ/mol of atoms: -64
Symmetry: F-43m (216)

Lattice parameters (Å, degrees): 4.7380 4.7380 4.7380 60.00 60.00 60.00
Atoms (fractional coordinates):
Sc 0.2500 0.2500 0.2500
Ca 0.7500 0.7500 0.7500
Ir 0.5000 0.5000 0.5000
Pd 0.0000 0.0000 0.0000

***

23.
An optimized crystal structure of CaSi3IrPd. Source: the Alexandria database, functional PBE-GGA.

Symmetry: Cmcm (63)
Formation energy (no corrections), eV per atom: -0.45

Lattice parameters (Å, degrees): 5.7334 6.4175 7.3234 115.99 90.00 90.00
Atoms (fractional coordinates):
Ca 0.7500 0.2940 0.5879
Ca 0.2500 0.7060 0.4121
Si 0.2500 0.2756 0.5511
Si 0.0000 0.2048 0.0000
Si 0.5000 0.7952 0.0000
Si 0.5000 0.2048 0.0000
Si 0.0000 0.7952 0.0000
Si 0.7500 0.7244 0.4489
Ir 0.2500 0.1063 0.2127
Ir 0.7500 0.8937 0.7873
Pd 0.2500 0.4493 0.8986
Pd 0.7500 0.5507 0.1014

***

24.
An optimized crystal structure of CaSi2IrPd. Source: the Alexandria database, functional PBE-GGA.

Symmetry: I-4m2 (119)
Formation energy (no corrections), eV per atom: -0.82

Lattice parameters (Å, degrees): 4.1067 4.1067 5.8611 110.51 110.51 90.00
Atoms (fractional coordinates):
Ca 0.0000 0.0000 0.0000
Si 0.6205 0.6205 0.2410
Si 0.3795 0.3795 0.7590
Ir 0.2500 0.7500 0.5000
Pd 0.7500 0.2500 0.5000

***

25.
An optimized crystal structure of CaSmIrPd. Source: the Alexandria database, functional PBE-GGA.

ΔE_f, kJ/mol of atoms: -61
Symmetry: F-43m (216)

Lattice parameters (Å, degrees): 4.9477 4.9477 4.9477 60.00 60.00 60.00
Atoms (fractional coordinates):
Ca 0.2500 0.2500 0.2500
Ir 0.0000 0.0000 0.0000
Pd 0.5000 0.5000 0.5000
Sm 0.7500 0.7500 0.7500

***

26.
An optimized crystal structure of CaSnIrPd. Source: the Alexandria database, functional PBE-GGA.

ΔE_f, kJ/mol of atoms: -43
Symmetry: F-43m (216)

Lattice parameters (Å, degrees): 4.7295 4.7295 4.7295 60.00 60.00 60.00
Atoms (fractional coordinates):
Ca 0.0000 0.0000 0.0000
Ir 0.2500 0.2500 0.2500
Sn 0.5000 0.5000 0.5000
Pd 0.7500 0.7500 0.7500

***

27.
An optimized crystal structure of CaTbIrPd. Source: the Alexandria database, functional PBE-GGA.

ΔE_f, kJ/mol of atoms: -65
Symmetry: F-43m (216)
E above lowest polymorph, meV per atom: 0.0

Lattice parameters (Å, degrees): 4.8998 4.8998 4.8998 60.00 60.00 60.00
Atoms (fractional coordinates):
Ca 0.2500 0.2500 0.2500
Ir 0.0000 0.0000 0.0000
Tb 0.7500 0.7500 0.7500
Pd 0.5000 0.5000 0.5000